Record 1
Li3DyZn3: relaxed, PBE-GGA.

Output
Energy of formation from the pure elements   250.6 meV/atom

```
14
Lattice="6.558 0.000 0.000 0.000 6.558 0.000 0.000 0.000 6.558" Properties=species:S:1:pos:R:3 pbc="T T T"
Li 0.000 1.640 3.279
Li 0.000 4.919 3.279
Li 1.640 3.279 0.000
Li 3.279 0.000 1.640
Li 3.279 0.000 4.919
Li 4.919 3.279 0.000
Dy 0.000 0.000 0.000
Dy 3.279 3.279 3.279
Zn 0.000 3.279 1.640
Zn 0.000 3.279 4.919
Zn 1.640 0.000 3.279
Zn 3.279 1.640 0.000
Zn 3.279 4.919 0.000
Zn 4.919 0.000 3.279
```

Record 2
ReTc2AuN: relaxed, PBE-GGA.

Output
Formation energy without anion corrections   0.213 eV per atom

```
5
Lattice="4.096 0.000 0.000 0.000 4.096 0.000 0.000 0.000 4.061" Properties=species:S:1:pos:R:3 pbc="T T T"
Re 0.000 0.000 0.000
Tc 0.000 2.048 2.031
Tc 2.048 0.000 2.031
Au 2.048 2.048 0.000
N 0.000 0.000 2.031
```

Record 3
Sr2CdCu: relaxed, PBE-GGA.

Output
Energy of formation from the pure elements   -45.0 meV/atom

```
4
Lattice="3.787 0.000 0.000 0.000 3.787 0.000 0.000 0.000 8.795" Properties=species:S:1:pos:R:3 pbc="T T T"
Sr 0.000 0.000 0.000
Sr 1.894 1.894 3.447
Cd 0.000 0.000 5.582
Cu 1.894 1.894 6.799
```

Record 4
Sm2Cd4InPb2: relaxed, PBE-GGA.

Output
Energy of formation from the pure elements   -113.3 meV/atom

```
9
Lattice="-3.406 3.406 5.508 3.406 -3.406 5.508 3.406 3.406 -5.508" Properties=species:S:1:pos:R:3 pbc="T T T"
Sm 0.000 0.000 2.492
Sm 0.000 0.000 8.524
Cd 1.478 1.478 0.000
Cd 1.929 -1.929 5.508
Cd -1.929 1.929 5.508
Cd 1.929 1.929 5.508
In 0.000 0.000 5.508
Pb 3.406 0.000 2.754
Pb 0.000 3.406 2.754
```